The following is a GGA-PBE calculation of LaIrOs2 after structural relaxation, from Alexandria via LeMat-Bulk.

## Properties
Total magnetization in μB per formula unit: 0.00
Volume in A^3/atom: 17.41
Excess energy over the best structure of this formula in the dataset in meV per atom: 299
Symmetry: No. 65
Energy relative to the elements in eV/atom: 0.491
DOS(E_F) in states/eV/f.u.: 3.85

Lattice parameters (Å, degrees): 5.0756 5.0756 2.8731 90.00 90.00 109.80
Element x y z (fractional)
La 0.0000 0.0000 0.0000
Ir 0.5000 0.5000 0.0000
Os 0.0000 0.5000 0.5000
Os 0.5000 0.0000 0.5000